Record 1
The following is a PBE calculation of HoThAu after structural relaxation, from the Alexandria database.

The space group is F-43m (No. 216) and the conventional cell measures 7.126, 7.126 and 7.126 Å, with angles of 90.00, 90.00 and 90.00 degrees. Symmetry generates all atoms from Ho at (0.000, 0.000, 0.000), Th at (0.000, 0.000, 0.500) and Au at (0.250, 0.250, 0.250).

As for the excess energy over the best structure of this formula in the dataset: 0.2126 eV per atom. Its volume is 30.2 A^3/atom.

=====

Record 2
The following is a PBE calculation of HoThAu2 after structural relaxation, from the Alexandria database.

The space group is Fm-3m (No. 225) and the conventional cell measures 7.329, 7.329 and 7.329 Å, with angles of 90.00, 90.00 and 90.00 degrees. Symmetry generates all atoms from Ho at (0.000, 0.000, 0.000), Th at (0.000, 0.000, 0.500) and Au at (0.250, 0.250, 0.250).

As for the excess energy over the best structure of this formula in the dataset: 0.0560 eV per atom. Its volume is 24.6 A^3/atom.

=====

Record 3
The following is a PBE calculation of HoTh2Au4 after structural relaxation, from the Alexandria database.

The space group is I4/mmm (No. 139) and the conventional cell measures 5.270, 5.270 and 13.131 Å, with angles of 90.00, 90.00 and 90.00 degrees. Symmetry generates all atoms from Ho at (0.000, 0.000, 0.000), Th at (0.000, 0.000, 0.286) and Au at (0.000, 0.500, 0.111).

Its total energy is -72.97 eV per cell. Its volume is 26.0 A^3/atom.

=====

Record 4
The following is a PBE calculation of HoThAu2 after structural relaxation, from the Alexandria database.

The space group is P4/mmm (No. 123) and the conventional cell measures 3.551, 3.551 and 7.675 Å, with angles of 90.00, 90.00 and 90.00 degrees. Symmetry generates all atoms from Ho at (0.000, 0.000, 0.000), Th at (0.000, 0.000, 0.500) and Au at (0.500, 0.500, 0.227).

As for the excess energy over the best structure of this formula in the dataset: 0.0291 eV per atom. Its volume is 24.2 A^3/atom.